# MnI2OF, relaxed, DFT PBE with a Hubbard U
# DOS(E_F) = 1.559 states/eV per atom
# Offset from the most stable computed form = 1086 meV per atom
data_MnI2OF
_cell_length_a 5.944
_cell_length_b 5.944
_cell_length_c 4.614
_cell_angle_alpha 90.00
_cell_angle_beta 90.00
_cell_angle_gamma 90.00
_space_group_name_H-M_alt 'P 4/m m m'
_space_group_IT_number 123
_space_group_name_Hall '-P 4 2'
loop_
_atom_site_label
_atom_site_type_symbol
_atom_site_fract_x
_atom_site_fract_y
_atom_site_fract_z
Mn1 Mn 0.000 0.000 0.000
I1 I 0.000 0.500 0.500
O1 O 0.500 0.500 0.000
F1 F 0.500 0.500 0.500